No. 1
A geometry-optimized CrCo2P structure, computed with PBE-GGA.

VASP energy = -29.641 eV per cell
Energy relative to the elements = -9.5 kJ/mol of atoms

Cell: 2.614 3.436 4.814 Å, 90.00 90.00 90.00°
Space group Pmmm (No. 47)
Unique sites:
Cr (0.000, 0.000, 0.000) [1 per cell]
Co (0.500, 0.500, 0.250) [2 per cell]
P (0.000, 0.000, 0.500) [1 per cell]

=====

No. 2
A geometry-optimized CrCoP structure, computed with PBE-GGA.

VASP energy = -95.502 eV per cell
Energy relative to the elements = -55.8 kJ/mol of atoms

Cell: 5.726 3.518 6.678 Å, 90.00 90.00 90.00°
Space group Pnma (No. 62)
Unique sites:
Cr (0.027, 0.250, 0.174) [4 per cell]
Co (0.143, 0.250, 0.564) [4 per cell]
P (0.239, 0.750, 0.377) [4 per cell]